# ErLuPtRh, optimized geometry, DFT GGA-PBE
# Total energy: -107.9 eV for the cell shown
data_ErLuPtRh
_space_group_name_H-M_alt 'F -4 3 m'
_space_group_IT_number 216
_space_group_name_Hall 'F -4 2 3'
_cell_length_a 6.8141
_cell_length_b 6.8141
_cell_length_c 6.8141
_cell_angle_alpha 90.00
_cell_angle_beta 90.00
_cell_angle_gamma 90.00
loop_
_atom_site_label
_atom_site_fract_x
_atom_site_fract_y
_atom_site_fract_z
Er1 0.0000 0.0000 0.0000
Lu1 0.0000 0.0000 0.5000
Pt1 0.2500 0.2500 0.7500
Rh1 0.2500 0.2500 0.2500